Material: TbTh4
Method: DFT, PBE-GGA
State: optimized geometry

Computed properties:
formation energy: 0.3 eV/f.u.
total magnetization: 0.000 μB per cell
energy above the most stable polymorph in this dataset: 0.00 eV per formula unit

```
TbTh4
1.0
-2.1176 -1.7346 2.2808
1.0073 -1.5576 -3.0262
11.8552 -8.7945 4.3122
Th Tb
4 1
Direct
0.2601 0.5217 0.6007
0.5274 0.0616 0.2003
0.4726 0.9384 0.7997
0.7399 0.4783 0.3993
0.0000 0.0000 0.0000
```

=====

Material: HoZn12Au6
Method: DFT, PBE-GGA
State: optimized geometry

Computed properties:
formation energy: -3.6 eV/f.u.
total magnetization: 0.000 μB per cell

```
HoZn12Au6
1.0
7.3021 -0.0504 -0.0710
-1.8589 7.0617 -0.0710
-1.8589 -2.3944 6.6438
Zn Au Ho
12 6 1
Direct
0.5000 0.8916 0.1084
0.5000 0.1084 0.8916
0.3778 0.1351 0.3778
0.3778 0.3778 0.1351
0.8916 0.1084 0.5000
0.1351 0.3778 0.3778
0.8649 0.6222 0.6222
0.1084 0.5000 0.8916
0.1084 0.8916 0.5000
0.6222 0.8649 0.6222
0.6222 0.6222 0.8649
0.8916 0.5000 0.1084
0.7111 0.2857 0.7111
0.7111 0.7111 0.2857
0.7143 0.2889 0.2889
0.2889 0.2889 0.7143
0.2889 0.7143 0.2889
0.2857 0.7111 0.7111
0.0000 0.0000 0.0000
```

=====

Material: Pu2Al4Cu3Pt
Method: DFT, PBE-GGA
State: optimized geometry

Computed properties:
formation energy: -3.8 eV/f.u.
total magnetization: 11.228 μB per cell

```
Pu2Al4Cu3Pt
1.0
-3.8860 0.7285 -1.3254
-1.3996 -3.1170 2.3903
-1.4174 6.6092 7.7885
Al Pu Cu Pt
4 2 3 1
Direct
0.0000 0.5000 0.3672
0.5000 0.5000 0.0000
0.5000 0.0000 0.6328
0.0000 0.0000 0.0000
0.5000 0.0000 0.2498
0.0000 0.5000 0.7502
0.5000 0.0000 0.8676
0.0000 0.5000 0.1324
0.0000 0.0000 0.5000
0.5000 0.5000 0.5000
```

=====

Material: TbGdHg4
Method: DFT, PBE-GGA
State: optimized geometry

Computed properties:
formation energy: -1.4 eV/f.u.
total magnetization: 7.469 μB per cell

```
TbGdHg4
1.0
-4.2165 -1.2078 -4.0388
-0.8751 -5.6136 -1.8086
-4.9369 -2.9208 1.6265
Hg Tb Gd
4 1 1
Direct
0.6250 0.6250 0.6250
0.6250 0.6250 0.1251
0.1251 0.6250 0.6250
0.6250 0.1251 0.6250
0.2500 0.2500 0.2500
0.0000 0.0000 0.0000
```

=====

Material: CaNp4As5
Method: DFT, PBE-GGA
State: optimized geometry

Computed properties:
formation energy: -7.7 eV/f.u.
total magnetization: 14.917 μB per cell

```
CaNp4As5
1.0
-1.5683 2.9421 -2.4301
-3.6371 -3.8863 -2.3579
-4.4610 2.6889 9.6363
Np As Ca
4 5 1
Direct
0.5988 0.5988 0.1977
0.2019 0.2019 0.4037
0.7981 0.7981 0.5963
0.4012 0.4012 0.8023
0.0000 0.5000 0.0000
0.1983 0.6983 0.3967
0.6059 0.1059 0.2119
0.3941 0.8941 0.7881
0.8017 0.3017 0.6033
0.0000 0.0000 0.0000
```

=====

Material: PrAl2Zn5
Method: DFT, PBE-GGA
State: optimized geometry

Computed properties:
formation energy: -1.7 eV/f.u.
total magnetization: 0.000 μB per cell

```
PrAl2Zn5
1.0
4.0726 0.0000 0.0000
2.0363 6.1632 0.0828
2.0363 1.9332 5.8527
Zn Al Pr
5 2 1
Direct
0.0000 0.5000 0.5000
0.6346 0.5489 0.1819
0.6346 0.1819 0.5489
0.3654 0.8181 0.4511
0.3654 0.4511 0.8181
0.7494 0.7506 0.7506
0.2506 0.2494 0.2494
0.0000 0.0000 0.0000
```

=====

Material: Co2BSb
Method: DFT, PBE-GGA
State: optimized geometry

Computed properties:
formation energy (no corrections): 577 meV per atom
total magnetization: 1.441 μB per cell
energy above the most stable polymorph in this dataset: 0.84 eV per formula unit

```
Co2BSb
1.0
-0.0940 1.4753 3.8006
-3.0324 2.4705 1.1539
-2.8193 -1.3242 2.6321
Sb Co B
1 2 1
Direct
0.5000 0.5000 0.5000
0.2500 0.2500 0.2500
0.7500 0.7500 0.7500
0.0000 0.0000 0.0000
```

=====

Material: Li3Zn3HgAu2
Method: DFT, PBE-GGA
State: optimized geometry

Computed properties:
formation energy: -2.7 eV/f.u.
total magnetization: 0.000 μB per cell

```
Li3Zn3HgAu2
1.0
-0.1101 -0.9637 -2.6696
7.7019 -0.0105 -0.3137
-3.7673 -6.2743 2.4203
Zn Hg Li Au
3 1 3 2
Direct
0.0000 0.3689 0.0000
0.0000 0.0000 0.3689
0.0000 0.6311 0.6311
0.0000 0.0000 0.0000
0.5000 0.6900 0.0000
0.5000 0.0000 0.6900
0.5000 0.3100 0.3100
0.5000 0.3333 0.6667
0.5000 0.6667 0.3333
```

=====

Material: PaCo7B2
Method: DFT, PBE-GGA
State: optimized geometry

Computed properties:
formation energy: -0.1 eV/f.u.
total magnetization: 4.754 μB per cell

```
PaCo7B2
1.0
3.9045 0.0000 0.0000
0.0000 5.8419 0.0674
0.0000 -2.5166 5.2725
Co B Pa
7 2 1
Direct
0.0000 0.6958 0.3042
0.5000 0.9418 0.6725
0.5000 0.6725 0.9418
0.5000 0.5000 0.5000
0.5000 0.0582 0.3275
0.0000 0.3042 0.6958
0.5000 0.3275 0.0582
0.5000 0.2977 0.7023
0.5000 0.7023 0.2977
0.0000 0.0000 0.0000
```

=====

Material: KNdNb2O6
Method: DFT, PBE-GGA
State: optimized geometry

Computed properties:
formation energy (no corrections): -2557 meV per atom
total magnetization: 0.000 μB per cell

```
KNdNb2O6
1.0
0.0000 4.0670 4.0670
4.0670 0.0000 4.0670
4.0670 4.0670 0.0000
O Nb K Nd
6 2 1 1
Direct
0.5000 0.5000 0.0000
0.0000 0.0000 0.5000
0.5000 0.0000 0.0000
0.5000 0.0000 0.5000
0.0000 0.5000 0.5000
0.0000 0.5000 0.0000
0.2500 0.2500 0.2500
0.7500 0.7500 0.7500
0.0000 0.0000 0.0000
0.5000 0.5000 0.5000
```

=====

Material: KSi3C
Method: DFT, PBE-GGA
State: optimized geometry

Computed properties:
formation energy (no corrections): 1224 meV per atom
total magnetization: 0.000 μB per cell
energy above the most stable polymorph in this dataset: 0.00 eV per formula unit

```
KSi3C
1.0
-3.2173 3.0115 0.1981
-1.1168 -0.9189 -4.1675
-2.8038 -3.0897 1.4326
Si K C
3 1 1
Direct
0.0000 0.5000 0.0000
0.5000 0.0000 0.0000
0.0000 0.0000 0.5000
0.5000 0.5000 0.5000
0.0000 0.0000 0.0000
```

=====

Material: Au7Se6
Method: DFT, PBE-GGA
State: optimized geometry

Computed properties:
formation energy (no corrections): 74 meV per atom
total magnetization: 0.000 μB per cell

```
Au7Se6
1.0
9.3061 -0.0766 -0.0485
6.9382 6.2025 -0.0485
6.9382 2.6164 5.6238
Se Au
6 7
Direct
0.1860 0.1860 0.1860
0.3594 0.3594 0.3594
0.6406 0.6406 0.6406
0.0437 0.0437 0.0437
0.9563 0.9563 0.9563
0.8140 0.8140 0.8140
0.0849 0.5875 0.5875
0.5000 0.5000 0.5000
0.4125 0.9151 0.4125
0.4125 0.4125 0.9151
0.5875 0.0849 0.5875
0.9151 0.4125 0.4125
0.5875 0.5875 0.0849
```

=====

Material: LaAl2Hg
Method: DFT, PBE-GGA
State: optimized geometry

Computed properties:
formation energy: -0.6 eV/f.u.
total magnetization: 0.000 μB per cell

```
LaAl2Hg
1.0
-1.0437 -2.5325 -2.3026
-0.4988 -2.2681 2.7226
-6.9098 2.2754 0.6295
Al Hg La
2 1 1
Direct
0.0000 0.0000 0.4519
0.0000 0.0000 0.0481
0.5000 0.5000 0.2500
0.5000 0.5000 0.7500
```

=====

Material: LaNdRh2
Method: DFT, PBE-GGA
State: optimized geometry

Computed properties:
formation energy: -2.6 eV/f.u.
total magnetization: 0.000 μB per cell
energy above the most stable polymorph in this dataset: 0.28 eV per formula unit

```
LaNdRh2
1.0
3.4612 0.0000 0.0000
0.0000 5.1183 0.0000
0.0000 0.0000 5.1183
La Nd Rh
1 1 2
Direct
0.5000 0.0000 0.0000
0.5000 0.5000 0.5000
0.0000 0.0000 0.5000
0.0000 0.5000 0.0000
```

=====

Material: Pm2SmTmS4
Method: DFT, PBE-GGA
State: optimized geometry

Computed properties:
formation energy (no corrections): -2003 meV per atom
total magnetization: 0.000 μB per cell

```
Pm2SmTmS4
1.0
-0.3771 3.3884 1.9599
-5.9385 1.2457 -3.2962
-1.3638 -3.5235 5.8293
S Pm Sm Tm
4 2 1 1
Direct
0.0000 0.7550 0.2418
0.5000 0.7623 0.7638
0.5000 0.2377 0.2362
0.0000 0.2450 0.7582
0.0000 0.5000 0.5000
0.5000 0.0000 0.5000
0.5000 0.5000 0.0000
0.0000 0.0000 0.0000
```

=====

Material: TmSc4Ni5
Method: DFT, PBE-GGA
State: optimized geometry

Computed properties:
formation energy: -4.8 eV/f.u.
total magnetization: 0.000 μB per cell

```
TmSc4Ni5
1.0
3.1705 0.0000 0.0000
0.0000 3.1705 0.0000
0.0000 0.0000 16.2978
Ni Sc Tm
5 4 1
Direct
0.5000 0.5000 0.1105
0.5000 0.5000 0.3036
0.5000 0.5000 0.5000
0.5000 0.5000 0.6964
0.5000 0.5000 0.8895
0.0000 0.0000 0.7946
0.0000 0.0000 0.4019
0.0000 0.0000 0.2054
0.0000 0.0000 0.5981
0.0000 0.0000 0.0000
```

=====

Material: Sr3CdH2
Method: DFT, PBE-GGA
State: optimized geometry

Computed properties:
total magnetization: 0.000 μB per cell
energy: -2.477 eV/atom

```
Sr3CdH2
1.0
-3.5213 1.5475 4.0656
0.8981 -7.1365 3.4943
5.7100 4.5966 3.1959
Sr H Cd
6 4 2
Direct
0.7500 0.5921 0.8201
0.2500 0.4079 0.1799
0.2500 0.8201 0.5921
0.2500 0.8954 0.1046
0.7500 0.1799 0.4079
0.7500 0.1046 0.8954
0.5000 0.8462 0.8462
0.0000 0.1538 0.1538
0.5000 0.1538 0.1538
0.0000 0.8462 0.8462
0.7500 0.7007 0.2993
0.2500 0.2993 0.7007
```

=====

Material: BaLaRh2
Method: DFT, PBE-GGA
State: optimized geometry

Computed properties:
formation energy: -0.3 eV/f.u.
total magnetization: 0.000 μB per cell

```
BaLaRh2
1.0
5.4437 0.0000 0.0000
0.0000 5.4437 0.0000
2.7218 2.7218 8.7930
Rh Ba La
4 2 2
Direct
0.9234 0.6250 0.2500
0.8750 0.0766 0.7500
0.3750 0.1734 0.7500
0.8266 0.1250 0.2500
0.5000 0.5000 0.0000
0.2500 0.7500 0.5000
0.7500 0.2500 0.5000
0.0000 0.0000 0.0000
```

=====

Material: TbEr2CdHg4
Method: DFT, PBE-GGA
State: optimized geometry

Computed properties:
formation energy: -3.3 eV/f.u.
total magnetization: 0.000 μB per cell

```
TbEr2CdHg4
1.0
-0.8595 4.4621 -2.3851
-3.8439 0.4063 -3.3759
-6.8965 3.9919 4.4321
Tb Er Hg Cd
1 2 4 1
Direct
0.0000 0.0000 0.0000
0.2429 0.2429 0.2712
0.7571 0.7571 0.7288
0.1227 0.1227 0.6318
0.8773 0.8773 0.3682
0.6300 0.6300 0.1100
0.3700 0.3700 0.8900
0.5000 0.5000 0.5000
```

=====

Material: KHg5I11
Method: DFT, PBE-GGA
State: optimized geometry

Computed properties:
formation energy (no corrections): -395 meV per atom
total magnetization: 0.000 μB per cell

```
KHg5I11
1.0
-4.8933 5.7635 0.1950
-3.6329 -7.2650 -7.5402
-0.8606 -5.4909 9.5887
I K Hg
11 1 5
Direct
0.5996 0.3612 0.3612
0.9351 0.5769 0.8212
0.7085 0.1286 0.7192
0.4004 0.6388 0.6388
0.9351 0.8212 0.5769
0.7085 0.7192 0.1286
0.2915 0.8714 0.2808
0.5000 0.0000 0.0000
0.2915 0.2808 0.8714
0.0649 0.1788 0.4231
0.0649 0.4231 0.1788
0.0000 0.0000 0.0000
0.6691 0.0285 0.3275
0.3309 0.6725 0.9715
0.0000 0.5000 0.5000
0.6691 0.3275 0.0285
0.3309 0.9715 0.6725
```

=====

Material: Li2CeHg6
Method: DFT, PBE-GGA
State: optimized geometry

Computed properties:
formation energy: -2.2 eV/f.u.
total magnetization: 1.112 μB per cell
energy above the most stable polymorph in this dataset: 0.00 eV per formula unit

```
Li2CeHg6
1.0
-2.7506 1.0677 1.2299
-2.7047 -8.2570 1.1192
4.4274 4.0613 6.3758
Li Hg Ce
2 6 1
Direct
0.0000 0.3333 0.6667
0.0000 0.6667 0.3333
0.5000 0.3390 0.0000
0.5000 0.0000 0.6610
0.5000 0.3390 0.3390
0.5000 0.0000 0.3390
0.5000 0.6610 0.6610
0.5000 0.6610 0.0000
0.0000 0.0000 0.0000
```

=====

Material: Dy2Al3Ag2
Method: DFT, PBE-GGA
State: optimized geometry

Computed properties:
formation energy: -2.7 eV/f.u.
total magnetization: 0.000 μB per cell
energy above the most stable polymorph in this dataset: 0.00 eV per formula unit

```
Dy2Al3Ag2
1.0
4.4175 0.0000 0.0000
-2.2087 5.3266 -0.0331
0.0000 -2.8544 6.1873
Al Dy Ag
3 2 2
Direct
0.4002 0.8005 0.5683
0.5998 0.1995 0.4317
0.5000 0.0000 0.0000
0.1493 0.2986 0.7763
0.8507 0.7014 0.2237
0.1455 0.2909 0.2403
0.8545 0.7091 0.7597
```

=====

Material: Dy2Ga3Pd
Method: DFT, PBE-GGA
State: optimized geometry

Computed properties:
formation energy: -4.6 eV/f.u.
total magnetization: 0.000 μB per cell

```
Dy2Ga3Pd
1.0
-0.4739 -3.6051 0.0176
1.1396 -0.1704 -4.2206
7.3870 -0.9611 2.0334
Ga Pd Dy
3 1 2
Direct
0.5000 0.5000 0.6656
0.5000 0.0000 0.8346
0.5000 0.0000 0.1655
0.5000 0.5000 0.3351
0.0000 0.0000 0.4909
0.0000 0.5000 0.0083
```